[1]
Below is an optimized crystal structure of KSr2TiPt, with properties calculated at the GGA-PBE level.

a = 5.6555 Å, b = 4.5618 Å, c = 5.6555 Å
α = 90.00°, β = 90.00°, γ = 90.00°
With the nearest neighbours (Å) after each atom.
Atoms (fractional coordinates):
Sr1 0.0000 0.0000 0.5000  2 K 2.83
Sr2 0.5000 0.0000 0.0000  2 K 2.83
K1 0.0000 0.0000 0.0000  2 Ti 2.28
Pt1 0.5000 0.5000 0.5000  8 Sr 3.63, 4 Ti 4.00
Ti1 0.0000 0.5000 0.0000  2 K 2.28

Fermi-level density of states ... 5.59 states/eV/cell
DFT total energy ... -11.2 eV/f.u.
E_form ... 7.20 eV/f.u.



[2]
Below is an optimized crystal structure of ZrTe2W, with properties calculated at the GGA-PBE level.

a = 8.9995 Å, b = 8.9995 Å, c = 8.9995 Å
α = 21.58°, β = 21.58°, γ = 21.58°
With the nearest neighbours (Å) after each atom.
Atoms (fractional coordinates):
Te1 0.9929 0.9929 0.9929  3 W 2.80, 3 Zr 3.08
Te2 0.5071 0.5071 0.5071  3 W 2.80, 3 Zr 3.08
W1 0.2500 0.2500 0.2500  6 Te 2.80
Zr1 0.7500 0.7500 0.7500  6 Te 3.08, 6 Zr 3.37

Formation energy (no corrections) ... 0.93 eV per formula unit
Distance to the lowest polymorph of the same formula ... 360 meV/atom
Fermi-level density of states ... 4.03 states/eV/cell
DFT total energy ... -26.9 eV/f.u.